Record 1
Here is crystalline SmInAg3 at its relaxed geometry from Alexandria via LeMat-Bulk. Energies are from PBE-GGA.

Cell and atoms, written as POSCAR:
```
SmInAg3
1.0
5.157 0.000 0.000
0.000 5.157 0.000
-2.579 -2.579 11.123
Ag In Sm
6 2 2
direct
0.126 0.875 0.252
0.661 0.661 0.322
0.125 0.874 0.748
0.339 0.339 0.678
0.623 0.874 0.748
0.126 0.377 0.252
0.906 0.406 0.811
0.594 0.094 0.189
0.250 0.750 0.500
0.000 0.000 0.000
```

crystal system: tetragonal
formation energy: 0.18 eV per atom
Fermi-level density of states: 6.1 states/eV/cell
total energy: -3.02 eV per atom


Record 2
Here is crystalline BeSn at its relaxed geometry from Alexandria via LeMat-Bulk. Energies are from PBE-GGA.

Cell and atoms, written as POSCAR:
```
BeSn
1.0
11.270 0.000 0.000
0.000 3.797 0.000
0.000 0.000 5.237
Be Sn
6 6
direct
0.840 0.000 0.687
0.500 0.500 0.967
0.660 0.500 0.187
0.000 0.000 0.467
0.160 0.000 0.687
0.340 0.500 0.187
0.322 0.500 0.681
0.822 0.000 0.181
0.000 0.500 0.798
0.678 0.500 0.681
0.178 0.000 0.181
0.500 0.000 0.298
```

crystal system: orthorhombic
formation energy: 0.39 eV per atom
Fermi-level density of states: 3.5 states/eV/cell
total energy: -3.48 eV per atom


Record 3
Here is crystalline TaHgBr2 at its relaxed geometry from Alexandria via LeMat-Bulk. Energies are from PBE-GGA.

Cell and atoms, written as POSCAR:
```
TaHgBr2
1.0
-3.977 0.114 -3.585
4.210 -2.244 -2.433
-1.010 -3.006 1.025
Hg Br Ta
1 2 1
direct
0.500 0.000 0.500
0.000 0.000 0.000
0.500 0.500 0.000
0.000 0.500 0.500
```

crystal system: orthorhombic
formation energy from raw total energies: 0.6596 eV per atom
Fermi-level density of states: 3.0 states/eV/cell
total energy: -3.22 eV per atom


Record 4
Here is crystalline KSrH3 at its relaxed geometry from Alexandria via LeMat-Bulk. Energies are from PBE-GGA.

Cell and atoms, written as POSCAR:
```
KSrH3
1.0
-2.806 1.163 3.660
-3.043 -3.473 -1.141
2.311 -3.047 2.828
K H Sr
1 3 1
direct
0.015 0.015 0.015
0.589 0.057 0.589
0.589 0.589 0.057
0.058 0.589 0.589
0.556 0.556 0.556
```

crystal system: trigonal
Fermi-level density of states: 0.0 states/eV/cell
total energy: -2.90 eV per atom


Record 5
Here is crystalline MgZrI at its relaxed geometry from Alexandria via LeMat-Bulk. Energies are from PBE-GGA.

Cell and atoms, written as POSCAR:
```
MgZrI
1.0
-3.584 -4.837 -1.679
2.924 -1.775 -1.130
2.807 -4.424 14.209
I Zr Mg
4 4 4
direct
0.830 0.500 0.586
0.830 0.000 0.086
0.329 0.000 0.579
0.329 0.500 0.079
0.528 0.500 0.718
0.052 0.000 0.720
0.052 0.500 0.220
0.528 0.000 0.218
0.252 0.000 0.373
0.252 0.500 0.873
0.759 0.000 0.869
0.759 0.500 0.369
```

crystal system: monoclinic
formation energy from raw total energies: -0.1851 eV per atom
Fermi-level density of states: 11.9 states/eV/cell
total energy: -4.08 eV per atom


Record 6
Here is crystalline Cs2KCa2F7 at its relaxed geometry from Alexandria via LeMat-Bulk. Energies are from PBE-GGA.

Cell and atoms, written as POSCAR:
```
Cs2KCa2F7
1.0
4.518 -0.003 0.013
0.003 4.518 0.013
2.231 2.229 12.003
F K Ca Cs
7 1 2 2
direct
0.092 0.592 0.817
0.310 0.310 0.378
0.690 0.690 0.622
0.592 0.092 0.817
0.908 0.408 0.183
0.408 0.908 0.183
0.500 0.500 0.000
0.000 0.000 0.000
0.406 0.406 0.186
0.594 0.594 0.814
0.186 0.186 0.629
0.814 0.814 0.371
```

crystal system: monoclinic
formation energy from raw total energies: -3.3329 eV per atom
Fermi-level density of states: 0.0 states/eV/cell
total energy: -4.99 eV per atom


Record 7
Here is crystalline CePrPb2 at its relaxed geometry from Alexandria via LeMat-Bulk. Energies are from PBE-GGA.

Cell and atoms, written as POSCAR:
```
CePrPb2
1.0
4.414 0.000 -1.607
0.000 4.567 0.000
-0.143 0.000 6.459
Ce Pb Pr
1 2 1
direct
0.714 0.000 0.968
0.986 0.000 0.510
0.179 0.500 0.898
0.452 0.500 0.441
```

crystal system: orthorhombic
formation energy: -0.46 eV per atom
Fermi-level density of states: 8.8 states/eV/cell
total energy: -5.00 eV per atom


Record 8
Here is crystalline ZnIn6Hg10 at its relaxed geometry from Alexandria via LeMat-Bulk. Energies are from PBE-GGA.

Cell and atoms, written as POSCAR:
```
ZnIn6Hg10
1.0
8.625 0.387 0.227
1.298 4.773 -3.648
-0.205 1.055 10.052
In Hg Zn
6 10 1
direct
0.809 0.545 0.102
0.710 0.393 0.352
0.290 0.607 0.648
0.191 0.455 0.898
0.072 0.958 0.269
0.928 0.042 0.731
0.406 0.166 0.306
0.164 0.082 0.007
0.054 0.564 0.369
0.946 0.436 0.631
0.698 0.015 0.463
0.436 0.562 0.168
0.836 0.918 0.993
0.564 0.438 0.832
0.594 0.834 0.694
0.302 0.985 0.537
0.500 0.000 0.000
```

crystal system: triclinic
formation energy: 0.02 eV per atom
Fermi-level density of states: 5.7 states/eV/cell
total energy: -1.20 eV per atom


Record 9
Here is crystalline Nd2DyC at its relaxed geometry from Alexandria via LeMat-Bulk. Energies are from PBE-GGA.

Cell and atoms, written as POSCAR:
```
Nd2DyC
1.0
-3.536 0.191 -0.775
-1.134 -0.452 -3.413
-2.436 -9.898 0.196
C Nd Dy
1 2 1
direct
0.500 0.500 0.500
0.881 0.881 0.357
0.119 0.119 0.643
0.000 0.000 0.000
```

crystal system: trigonal
formation energy: 0.07 eV per atom
Fermi-level density of states: 3.7 states/eV/cell
total energy: -5.77 eV per atom


Record 10
Here is crystalline Tb4Ru2Pt at its relaxed geometry from Alexandria via LeMat-Bulk. Energies are from PBE-GGA.

Cell and atoms, written as POSCAR:
```
Tb4Ru2Pt
1.0
6.733 -0.771 -0.166
-1.121 7.500 0.148
-2.656 -3.469 6.418
Tb Ru Pt
8 4 2
direct
0.022 0.269 0.366
0.472 0.098 0.371
0.780 0.617 0.595
0.906 0.653 0.133
0.351 0.476 0.129
0.762 0.120 0.815
0.198 0.055 0.685
0.435 0.772 0.905
0.508 0.403 0.740
0.608 0.258 0.109
0.749 0.898 0.391
0.019 0.414 0.761
0.344 0.733 0.498
0.096 0.984 0.002
```

crystal system: monoclinic
formation energy: -0.55 eV per atom
Fermi-level density of states: 8.1 states/eV/cell
total energy: -6.71 eV per atom


Record 11
Here is crystalline TaIn2Pb at its relaxed geometry from Alexandria via LeMat-Bulk. Energies are from PBE-GGA.

Cell and atoms, written as POSCAR:
```
TaIn2Pb
1.0
-0.989 -4.910 1.028
2.619 -0.145 1.828
-1.649 1.508 5.620
Ta Pb In
1 1 2
direct
0.500 0.750 0.750
0.500 0.250 0.250
0.000 0.585 0.520
0.000 0.915 0.980
```

crystal system: monoclinic
formation energy: 0.41 eV per atom
Fermi-level density of states: 2.1 states/eV/cell
total energy: -4.85 eV per atom


Record 12
Here is crystalline AlNi2B2 at its relaxed geometry from Alexandria via LeMat-Bulk. Energies are from PBE-GGA.

Cell and atoms, written as POSCAR:
```
AlNi2B2
1.0
-2.795 0.747 -0.236
-0.663 -2.722 -0.757
-2.551 -2.321 5.015
Al B Ni
1 2 2
direct
0.000 0.000 0.000
0.750 0.250 0.500
0.250 0.750 0.500
0.376 0.376 0.248
0.624 0.624 0.752
```

crystal system: tetragonal
formation energy: -0.18 eV per atom
Fermi-level density of states: 1.3 states/eV/cell
total energy: -5.91 eV per atom


Question: What is the formula in the seventh record?
Answer: CePrPb2


Question: What is the Fermi-level density of states in the fifth record?
Answer: 11.9 states/eV/cell


Question: Which value of Fermi-level density of states does entry 6 give?
Answer: 0.0 states/eV/cell


Question: Which of these has the highest Fermi-level density of states?
Answer: MgZrI